1.
NaCd2RhPb: optimized geometry, GGA-PBE.

Output
Energy of formation, meV per atom: -45

Unit cell a=5.272 b=5.272 c=5.150 alpha=90.00 beta=90.00 gamma=90.00
Sites, in units of the cell vectors:
Na  0.000  0.000  0.000
Cd  0.000  0.500  0.500
Cd  0.500  0.000  0.500
Rh  0.500  0.500  0.500
Pb  0.500  0.500  0.000

2.
NaCdSbPb: optimized geometry, GGA-PBE.

Output
Formation energy without anion corrections, eV/f.u.: -0.39

Unit cell a=5.462 b=5.462 c=5.462 alpha=60.00 beta=60.00 gamma=60.00
Sites, in units of the cell vectors:
Na  0.000  0.000  0.000
Cd  0.750  0.750  0.750
Sb  0.250  0.250  0.250
Pb  0.500  0.500  0.500

3.
NaScCdPb2: optimized geometry, GGA-PBE.

Output
Energy of formation, meV per atom: 409

Unit cell a=5.711 b=5.711 c=5.463 alpha=90.00 beta=90.00 gamma=90.00
Sites, in units of the cell vectors:
Na  0.000  0.000  0.000
Sc  0.500  0.500  0.000
Cd  0.500  0.500  0.500
Pb  0.000  0.500  0.500
Pb  0.500  0.000  0.500

4.
NaScCdPb: optimized geometry, GGA-PBE.

Output
Energy of formation, meV per atom: -189

Unit cell a=5.168 b=5.168 c=5.168 alpha=60.00 beta=60.00 gamma=60.00
Sites, in units of the cell vectors:
Na  0.000  0.000  0.000
Sc  0.500  0.500  0.500
Cd  0.750  0.750  0.750
Pb  0.250  0.250  0.250